Entry 1:
This record from the Alexandria database describes an optimized crystal structure of Na3UBr6. The functional is PBE.

Lattice parameters (Å, degrees): 7.426 7.831 13.248 90.00 122.98 90.00
Fractional coordinates of all 20 atoms:
Na (0.000, 0.000, 0.000)
Na (0.000, 0.500, 0.500)
Na (0.209, 0.075, 0.729)
Na (0.209, 0.425, 0.229)
Na (0.791, 0.575, 0.771)
Na (0.791, 0.925, 0.271)
U (0.500, 0.000, 0.500)
U (0.500, 0.500, 0.000)
Br (0.112, 0.180, 0.439)
Br (0.112, 0.320, 0.939)
Br (0.240, 0.690, 0.412)
Br (0.240, 0.810, 0.912)
Br (0.402, 0.076, 0.258)
Br (0.402, 0.424, 0.758)
Br (0.598, 0.576, 0.242)
Br (0.598, 0.924, 0.742)
Br (0.760, 0.190, 0.088)
Br (0.760, 0.310, 0.588)
Br (0.888, 0.680, 0.061)
Br (0.888, 0.820, 0.561)

Results
Distance to the lowest polymorph of the same formula, meV per atom: 0
Formation energy without anion corrections, eV per atom: -1.42
Mass density, g/cm3: 4.041

=====

Entry 2:
This record from the Alexandria database describes an optimized crystal structure of Ba5Al3Cu2. The functional is PBE.

Lattice parameters (Å, degrees): 13.328 13.328 13.328 24.37 24.37 24.37
Fractional coordinates of all 10 atoms:
Ba (0.000, 0.000, 0.000)
Ba (0.093, 0.093, 0.093)
Ba (0.530, 0.530, 0.530)
Ba (0.634, 0.634, 0.634)
Ba (0.828, 0.828, 0.828)
Al (0.080, 0.080, 0.584)
Al (0.080, 0.584, 0.080)
Al (0.584, 0.080, 0.080)
Cu (0.195, 0.195, 0.195)
Cu (0.364, 0.364, 0.364)

Results
Calculated formation energy, eV/atom: 0.102
Mass density, g/cm3: 4.192

=====

Entry 3:
This record from the Alexandria database describes an optimized crystal structure of LaSb3Se. The functional is PBE.

Lattice parameters (Å, degrees): 5.411 5.411 5.411 90.00 90.00 90.00
Fractional coordinates of all 5 atoms:
La (0.000, 0.000, 0.000)
Sb (0.000, 0.500, 0.500)
Sb (0.500, 0.000, 0.500)
Sb (0.500, 0.500, 0.000)
Se (0.500, 0.500, 0.500)

Results
Distance to the lowest polymorph of the same formula, meV per atom: 0
Formation energy without anion corrections, eV per atom: -0.08
Mass density, g/cm3: 6.113

=====

Entry 4:
This record from the Alexandria database describes an optimized crystal structure of MgTiSbTe2. The functional is PBE.

Lattice parameters (Å, degrees): 5.332 5.332 5.350 90.00 90.00 90.00
Fractional coordinates of all 5 atoms:
Mg (0.000, 0.000, 0.000)
Ti (0.500, 0.500, 0.500)
Sb (0.500, 0.500, 0.000)
Te (0.000, 0.500, 0.500)
Te (0.500, 0.000, 0.500)

Results
Distance to the lowest polymorph of the same formula, meV per atom: 0
Formation energy without anion corrections, eV per atom: -0.02
Mass density, g/cm3: 4.903

=====

Entry 5:
This record from the Alexandria database describes an optimized crystal structure of Nd2ScAl. The functional is PBE.

Lattice parameters (Å, degrees): 5.362 5.362 5.362 60.00 60.00 60.00
Fractional coordinates of all 4 atoms:
Nd (0.250, 0.250, 0.250)
Nd (0.750, 0.750, 0.750)
Sc (0.000, 0.000, 0.000)
Al (0.500, 0.500, 0.500)

Results
Distance to the lowest polymorph of the same formula, meV per atom: 77
Calculated formation energy, eV/atom: -0.089
Mass density, g/cm3: 5.492

=====

Entry 6:
This record from the Alexandria database describes an optimized crystal structure of NaDy3Cd4. The functional is PBE.

Lattice parameters (Å, degrees): 3.711 3.711 15.259 90.00 90.00 90.00
Fractional coordinates of all 8 atoms:
Na (0.000, 0.000, 0.000)
Dy (0.000, 0.000, 0.252)
Dy (0.000, 0.000, 0.500)
Dy (0.000, 0.000, 0.748)
Cd (0.500, 0.500, 0.131)
Cd (0.500, 0.500, 0.377)
Cd (0.500, 0.500, 0.623)
Cd (0.500, 0.500, 0.869)

Results
Calculated formation energy, eV/atom: -0.248
Mass density, g/cm3: 7.588

=====

Entry 7:
This record from the Alexandria database describes an optimized crystal structure of La4ErCd3. The functional is PBE.

Lattice parameters (Å, degrees): 3.837 5.680 11.466 90.00 90.00 90.00
Fractional coordinates of all 8 atoms:
La (0.000, 0.000, 0.000)
La (0.000, 0.000, 0.500)
La (0.000, 0.500, 0.241)
La (0.000, 0.500, 0.759)
Er (0.500, 0.500, 0.500)
Cd (0.500, 0.000, 0.256)
Cd (0.500, 0.000, 0.744)
Cd (0.500, 0.500, 0.000)

Results
Calculated formation energy, eV/atom: -0.211
Mass density, g/cm3: 7.044

=====

Entry 8:
This record from the Alexandria database describes an optimized crystal structure of AcMgCuPd. The functional is PBE.

Lattice parameters (Å, degrees): 5.068 5.068 5.068 60.00 60.00 60.00
Fractional coordinates of all 4 atoms:
Ac (0.000, 0.000, 0.000)
Mg (0.500, 0.500, 0.500)
Cu (0.250, 0.250, 0.250)
Pd (0.750, 0.750, 0.750)

Results
Distance to the lowest polymorph of the same formula, meV per atom: 133
Calculated formation energy, eV/atom: -0.337
Mass density, g/cm3: 7.599

=====

Entry 9:
This record from the Alexandria database describes an optimized crystal structure of Pm2DyHo2Er2. The functional is PBE.

Lattice parameters (Å, degrees): 6.089 6.089 11.764 108.41 108.41 33.47
Fractional coordinates of all 7 atoms:
Pm (0.171, 0.171, 0.085)
Pm (0.829, 0.829, 0.915)
Dy (0.500, 0.500, 0.500)
Ho (0.051, 0.051, 0.769)
Ho (0.949, 0.949, 0.231)
Er (0.274, 0.274, 0.636)
Er (0.726, 0.726, 0.364)

Results
Calculated formation energy, eV/atom: 0.086
Mass density, g/cm3: 8.168

=====

Entry 10:
This record from the Alexandria database describes an optimized crystal structure of Mn2TlCdCl8. The functional is PBE.

Lattice parameters (Å, degrees): 6.149 7.807 6.402 90.00 90.99 90.00
Fractional coordinates of all 12 atoms:
Mn (0.000, 0.244, 0.000)
Mn (0.000, 0.756, 0.000)
Tl (0.500, 0.500, 0.500)
Cd (0.500, 0.000, 0.500)
Cl (0.202, 0.500, 0.850)
Cl (0.216, 0.000, 0.838)
Cl (0.252, 0.232, 0.310)
Cl (0.252, 0.768, 0.310)
Cl (0.748, 0.232, 0.690)
Cl (0.748, 0.768, 0.690)
Cl (0.784, 0.000, 0.162)
Cl (0.798, 0.500, 0.150)

Results
Formation energy without anion corrections, eV per atom: -0.95
Mass density, g/cm3: 3.838

=====

Entry 11:
This record from the Alexandria database describes an optimized crystal structure of PmCuSbPd. The functional is PBE.

Lattice parameters (Å, degrees): 4.857 4.857 4.857 60.00 60.00 60.00
Fractional coordinates of all 4 atoms:
Pm (0.000, 0.000, 0.000)
Cu (0.750, 0.750, 0.750)
Sb (0.500, 0.500, 0.500)
Pd (0.250, 0.250, 0.250)

Results
Formation energy without anion corrections, eV per atom: -0.58
Mass density, g/cm3: 8.953

=====

Entry 12:
This record from the Alexandria database describes an optimized crystal structure of SrTl2Pd2. The functional is PBE.

Lattice parameters (Å, degrees): 6.796 6.796 6.796 140.27 140.27 57.44
Fractional coordinates of all 5 atoms:
Sr (0.000, 0.000, 0.000)
Tl (0.250, 0.750, 0.500)
Tl (0.750, 0.250, 0.500)
Pd (0.389, 0.389, 0.000)
Pd (0.611, 0.611, 0.000)

Results
Calculated formation energy, eV/atom: -0.367
Mass density, g/cm3: 9.263

=====

Q: Which value of mass density does entry 1 give?
A: 4.041 g/cm3

=====

Q: Which value of mass density does entry 12 give?
A: 9.263 g/cm3